(1)
Computed, not measured: a geometry-optimized Na2Hg3S4 structure at the GGA-PBEsol level of DFT.

Cell lengths 7.3010, 13.9494, 8.1352 Å; angles 90.00, 90.00, 90.00 degrees
With the nearest neighbours (Å) after each atom.
Space group Pbca (No. 61)
Unique sites:
Na: 0.0637 0.1071 0.1150 x8  5 S 2.84-2.96
Hg: 0.0000 0.0000 0.5000 x4  2 S 2.36
Hg: 0.2285 0.6967 0.7804 x8  3 S 2.44-2.55
S: 0.0128 0.7250 0.0957 x8  2 Hg 2.44-2.55
S: 0.2364 0.0195 0.8355 x8  2 Hg 2.36-2.53

Values from the calculation:
The value obtained for the uncorrected formation energy is -0.50 eV per atom. The total magnetization comes out at 0.00 μB/f.u.

---

(2)
Computed, not measured: a geometry-optimized MgSc2Os structure at the GGA-PBEsol level of DFT.

Cell lengths 3.2607, 4.6638, 10.1139 Å; angles 90.00, 90.00, 90.00 degrees
With the nearest neighbours (Å) after each atom.
Space group Imm2 (No. 44)
Unique sites:
Mg: 0.0000 0.0000 0.0000 x2  2 Os 2.72, 4 Sc 2.96
Sc: 0.0000 0.0000 0.4186 x2  2 Os 2.63
Sc: 0.0000 0.5000 0.2131 x2  4 Os 2.85, 2 Sc 3.12, 2 Mg 3.18
Os: 0.0000 0.5000 0.7151 x2  6 Sc 2.63-2.85, 2 Mg 2.72

Values from the calculation:
The value obtained for the energy of formation from the pure elements is -0.12 eV per atom. The total magnetization comes out at 0.00 μB/f.u.

---

(3)
Computed, not measured: a geometry-optimized MnZnF6 structure at the GGA-PBEsol level of DFT.

Cell lengths 4.9525, 4.9525, 13.2405 Å; angles 90.00, 90.00, 120.00 degrees
With the nearest neighbours (Å) after each atom.
Space group R-3 (No. 148, hexagonal axes)
Unique sites:
Mn: 0.0000 0.0000 0.0000 x3  6 F 1.81
Zn: 0.0000 0.0000 0.5000 x3  6 F 2.02
F: 0.0214 0.3820 0.7458 x18  1 Mn 1.81, 1 Zn 2.02

Values from the calculation:
The value obtained for the uncorrected formation energy is -2.32 eV per atom. The total magnetization comes out at 3.00 μB/f.u.

---

(4)
Computed, not measured: a geometry-optimized Mn3CrO8 structure at the GGA-PBEsol level of DFT.

Cell lengths 8.0442, 8.0442, 8.0442 Å; angles 90.00, 90.00, 90.00 degrees
With the nearest neighbours (Å) after each atom.
Space group P4_332 (No. 212)
Unique sites:
Mn: 0.1239 0.1261 0.6250 x12  6 O 1.89-1.90
Cr: 0.1250 0.8750 0.3750 x4  6 O 1.91
O: 0.1086 0.1116 0.3902 x24  2 Mn 1.89-1.90, 1 Cr 1.91
O: 0.1119 0.6119 0.8881 x8  3 Mn 1.90

Values from the calculation:
The value obtained for the uncorrected formation energy is -1.59 eV per atom. The calculation puts the relative energy among the computed polymorphs at 60 meV/atom. The total magnetization comes out at 10.95 μB/f.u.

---

(5)
Computed, not measured: a geometry-optimized MgBeCo2 structure at the GGA-PBEsol level of DFT.

Cell lengths 2.6097, 2.6097, 22.6419 Å; angles 90.00, 90.00, 120.00 degrees
With the nearest neighbours (Å) after each atom.
Space group R-3m (No. 166, hexagonal axes)
Unique sites:
Mg: 0.0000 0.0000 0.0000 x3  6 Mg 2.61, 6 Co 2.61
Be: 0.0000 0.0000 0.5000 x3  6 Co 2.23
Co: 0.0000 0.0000 0.2391 x6  3 Be 2.23

Values from the calculation:
The value obtained for the energy of formation from the pure elements is 0.21 eV per atom. The calculation puts the relative energy among the computed polymorphs at 0 meV/atom. The total magnetization comes out at 1.48 μB/f.u.

---

(6)
Computed, not measured: a geometry-optimized HgIr3 structure at the GGA-PBEsol level of DFT.

Cell lengths 2.7721, 4.7426, 4.7536 Å; angles 90.00, 90.31, 90.00 degrees
With the nearest neighbours (Å) after each atom.
Space group P2/m (No. 10)
Unique sites:
Hg: 0.0000 0.0000 0.0000 x1  8 Ir 2.74-2.77, 2 Hg 2.77
Ir: 0.2575 0.5000 0.2641 x2  8 Ir 2.61-2.88, 2 Hg 2.77
Ir: 0.5000 0.0000 0.5000 x1  6 Ir 2.71-2.77, 4 Hg 2.74-2.76

Values from the calculation:
The value obtained for the energy of formation from the pure elements is 0.57 eV per atom. The total magnetization comes out at 0.00 μB/f.u.

---

(7)
Computed, not measured: a geometry-optimized SrCa2 structure at the GGA-PBEsol level of DFT.

Cell lengths 14.7664, 3.9615, 9.4569 Å; angles 90.00, 106.00, 90.00 degrees
With the nearest neighbours (Å) after each atom.
Space group Cm (No. 8)
Unique sites:
Sr: 0.0000 0.0000 0.0000 x2  8 Ca 3.92-4.04, 4 Sr 3.96-4.04
Sr: 0.1702 0.5000 0.3436 x2  8 Ca 3.91-4.08, 4 Sr 3.96-4.04
Ca: 0.0539 0.0000 0.6169 x2  3 Sr 3.92-4.00, 9 Ca 3.93-4.03
Ca: 0.2257 0.5000 0.9437 x2  8 Ca 3.93-3.99, 4 Sr 3.94-4.08
Ca: 0.3346 0.0000 0.6711 x2  4 Sr 3.91-3.92, 8 Ca 3.93-4.03
Ca: 0.3905 0.0000 0.2847 x2  7 Ca 3.93-3.99, 5 Sr 3.98-4.02

Values from the calculation:
The value obtained for the energy of formation from the pure elements is 0.02 eV per atom. The calculation puts the relative energy among the computed polymorphs at 9 meV/atom. The total magnetization comes out at 0.00 μB/f.u.

---

(8)
Computed, not measured: a geometry-optimized In2TeMo structure at the GGA-PBEsol level of DFT.

Cell lengths 4.8651, 4.8651, 3.5954 Å; angles 90.00, 90.00, 90.00 degrees
With the nearest neighbours (Å) after each atom.
Space group P4/mmm (No. 123)
Unique sites:
In: 0.0000 0.5000 0.0000 x2  4 Mo 3.02, 4 Te 3.02
Te: 0.0000 0.0000 0.5000 x1  8 In 3.02
Mo: 0.5000 0.5000 0.5000 x1  8 In 3.02

Values from the calculation:
The value obtained for the uncorrected formation energy is 0.54 eV per atom. The total magnetization comes out at 0.20 μB/f.u.